Entry 1:
Material: Zr4Cd5
Method: DFT, PBE
State: relaxed

Structure (CIF):
```
data_Zr4Cd5
_chemical_formula_sum 'Zr8 Cd10'
_space_group_name_H-M_alt 'P 63/m c m'
_space_group_IT_number 193
_space_group_name_Hall '-P 6c 2'
_cell_length_a 8.7029
_cell_length_b 8.7029
_cell_length_c 6.0070
_cell_angle_alpha 90.00
_cell_angle_beta 90.00
_cell_angle_gamma 120.00
loop_
_atom_site_label
_atom_site_fract_x
_atom_site_fract_y
_atom_site_fract_z
Zr1 0.0000 0.0000 0.0000
Zr2 0.0000 0.3347 0.2500
Cd1 0.0000 0.3301 0.7500
Cd2 0.3333 0.6667 0.0000
```

Computed properties:
- Offset from the most stable computed form: 6.51 kJ per mole of atoms
- Formation enthalpy at 0 K: -0.04 eV per atom

***

Entry 2:
Material: NaGdTlPt
Method: DFT, PBE
State: relaxed

Structure (CIF):
```
data_NaGdTlPt
_chemical_formula_sum 'Na4 Gd4 Tl4 Pt4'
_space_group_name_H-M_alt 'F -4 3 m'
_space_group_IT_number 216
_space_group_name_Hall 'F -4 2 3'
_cell_length_a 7.179
_cell_length_b 7.179
_cell_length_c 7.179
_cell_angle_alpha 90.00
_cell_angle_beta 90.00
_cell_angle_gamma 90.00
loop_
_atom_site_label
_atom_site_fract_x
_atom_site_fract_y
_atom_site_fract_z
Na1 0.000 0.000 0.000
Gd1 0.000 0.000 0.500
Tl1 0.250 0.250 0.750
Pt1 0.250 0.250 0.250
```

Computed properties:
- Formation enthalpy at 0 K: -0.39 eV per atom

***

Entry 3:
Material: CaTaMoPd2
Method: DFT, PBE
State: relaxed

Structure (CIF):
```
data_CaTaMoPd2
_chemical_formula_sum 'Ca1 Ta1 Mo1 Pd2'
_space_group_name_H-M_alt 'P 4/m m m'
_space_group_IT_number 123
_space_group_name_Hall '-P 4 2'
_cell_length_a 4.604
_cell_length_b 4.604
_cell_length_c 4.793
_cell_angle_alpha 90.00
_cell_angle_beta 90.00
_cell_angle_gamma 90.00
loop_
_atom_site_label
_atom_site_fract_x
_atom_site_fract_y
_atom_site_fract_z
Ca1 0.000 0.000 0.000
Ta1 0.500 0.500 0.500
Mo1 0.000 0.000 0.500
Pd1 0.000 0.500 0.000
```

Computed properties:
- Formation enthalpy at 0 K: 1.66 eV per atom

***

Entry 4:
Material: TmLuCoHg
Method: DFT, PBE
State: relaxed

Structure (CIF):
```
data_TmLuCoHg
_chemical_formula_sum 'Tm4 Lu4 Co4 Hg4'
_space_group_name_H-M_alt 'F -4 3 m'
_space_group_IT_number 216
_space_group_name_Hall 'F -4 2 3'
_cell_length_a 6.979
_cell_length_b 6.979
_cell_length_c 6.979
_cell_angle_alpha 90.00
_cell_angle_beta 90.00
_cell_angle_gamma 90.00
loop_
_atom_site_label
_atom_site_fract_x
_atom_site_fract_y
_atom_site_fract_z
Tm1 0.000 0.000 0.000
Lu1 0.000 0.000 0.500
Co1 0.250 0.250 0.250
Hg1 0.250 0.250 0.750
```

Computed properties:
- Formation enthalpy at 0 K: -0.26 eV per atom

***

Entry 5:
Material: Al2PBr
Method: DFT, PBE
State: relaxed

Structure (CIF):
```
data_Al2PBr
_chemical_formula_sum 'Al2 P1 Br1'
_space_group_name_H-M_alt 'P 4/m m m'
_space_group_IT_number 123
_space_group_name_Hall '-P 4 2'
_cell_length_a 4.795
_cell_length_b 4.795
_cell_length_c 3.223
_cell_angle_alpha 90.00
_cell_angle_beta 90.00
_cell_angle_gamma 90.00
loop_
_atom_site_label
_atom_site_fract_x
_atom_site_fract_y
_atom_site_fract_z
Al1 0.000 0.500 0.000
P1 0.000 0.000 0.500
Br1 0.500 0.500 0.500
```

Computed properties:
- Offset from the most stable computed form: 45.60 kJ per mole of atoms
- ΔE_f (raw): 0.210 eV per atom

***

Entry 6:
Material: Re2IrCO
Method: DFT, PBE
State: relaxed

Structure (CIF):
```
data_Re2IrCO
_chemical_formula_sum 'Re2 Ir1 C1 O1'
_space_group_name_H-M_alt 'P 4/m m m'
_space_group_IT_number 123
_space_group_name_Hall '-P 4 2'
_cell_length_a 4.170
_cell_length_b 4.170
_cell_length_c 3.591
_cell_angle_alpha 90.00
_cell_angle_beta 90.00
_cell_angle_gamma 90.00
loop_
_atom_site_label
_atom_site_fract_x
_atom_site_fract_y
_atom_site_fract_z
Re1 0.000 0.500 0.000
Ir1 0.000 0.000 0.500
C1 0.500 0.500 0.000
O1 0.500 0.500 0.500
```

Computed properties:
- ΔE_f (raw): 1.197 eV per atom